No. 1
Material: SiBO
Method: DFT, PBE-GGA
State: relaxed

Magnetic moment = 0.000 μB/atom
DOS at the Fermi energy = 0.05 states/eV/f.u.
Polymorph energy (0 for the lowest one) = 0.079 eV/atom
ΔE_f (raw) = -0.958 eV per atom

a = 4.138 Å, b = 2.994 Å, c = 4.997 Å
α = 90.00°, β = 91.30°, γ = 90.00°
Element x y z (fractional)
1 Si 0.199 0.000 0.901
2 Si 0.766 0.000 0.431
3 B 0.236 0.000 0.292
4 B 0.400 0.500 0.430
5 O 0.832 0.000 0.769
6 O 0.331 0.500 0.754

No. 2
Material: Cu5PtBr12
Method: DFT, PBE-GGA
State: relaxed

Magnetic moment = 0.102 μB/atom
DOS at the Fermi energy = 12.01 states/eV/f.u.
ΔE_f (raw) = -0.281 eV per atom

a = 8.318 Å, b = 6.697 Å, c = 13.322 Å
α = 97.19°, β = 101.63°, γ = 51.61°
Element x y z (fractional)
1 Cu 0.500 0.000 0.500
2 Cu 0.167 0.667 0.500
3 Cu 0.833 0.333 0.500
4 Cu 0.664 0.671 0.000
5 Cu 0.336 0.329 0.000
6 Pt 0.000 0.000 0.000
7 Br 0.864 0.000 0.388
8 Br 0.136 0.000 0.612
9 Br 0.675 0.000 0.950
10 Br 0.325 0.000 0.050
11 Br 0.172 0.658 0.869
12 Br 0.170 0.658 0.131
13 Br 0.830 0.342 0.869
14 Br 0.828 0.342 0.131
15 Br 0.464 0.334 0.614
16 Br 0.798 0.666 0.614
17 Br 0.202 0.334 0.386
18 Br 0.536 0.666 0.386

No. 3
Material: Cs2SrWI6
Method: DFT, PBE-GGA
State: relaxed

Magnetic moment = 0.200 μB/atom
DOS at the Fermi energy = 5.58 states/eV/f.u.
ΔE_f (raw) = -0.843 eV per atom

a = 8.538 Å, b = 8.538 Å, c = 8.538 Å
α = 60.00°, β = 60.00°, γ = 90.00°
Element x y z (fractional)
1 Cs 0.750 0.250 0.500
2 Cs 0.250 0.750 0.500
3 I 0.233 0.233 0.535
4 I 0.767 0.767 0.465
5 I 0.233 0.233 0.000
6 I 0.767 0.767 0.000
7 I 0.767 0.233 0.000
8 I 0.233 0.767 0.000
9 W 0.000 0.000 0.000
10 Sr 0.500 0.500 0.000